(1)
Density functional theory data (PBE-GGA) for a geometry-optimized KInSn structure. Values from VASP.

space group	P1
calculated total energy	-2.78	eV per atom
crystal system	triclinic
magnetization	0.00	μB/cell

Structure (Quantum ESPRESSO input):
```
&SYSTEM
  ibrav = 0, nat = 6, ntyp = 3
/
ATOMIC_SPECIES
K 39.10 K.upf
Sn 118.71 Sn.upf
In 114.82 In.upf
ATOMIC_POSITIONS angstrom
K 2.981 5.526 0.342
K 0.450 3.505 3.632
Sn 3.240 8.283 3.892
Sn 2.660 1.977 1.222
In 0.195 0.730 0.112
In 0.811 7.070 2.777
CELL_PARAMETERS angstrom
4.899 0.037 -0.026
0.109 7.562 0.007
-2.229 1.602 6.216
```

(2)
Density functional theory data (PBE-GGA) for a geometry-optimized K2In5Sn4 structure. Values from VASP.

space group	Fmmm
calculated total energy	-2.94	eV per atom
crystal system	orthorhombic
magnetization	0.00	μB/cell

Structure (Quantum ESPRESSO input):
```
&SYSTEM
  ibrav = 0, nat = 11, ntyp = 3
/
ATOMIC_SPECIES
K 39.10 K.upf
In 114.82 In.upf
Sn 118.71 Sn.upf
ATOMIC_POSITIONS angstrom
K -5.708 -3.062 3.457
K -2.702 -0.319 6.751
In -2.890 -1.821 0.527
In 0.197 -3.360 0.805
In -2.693 -5.181 1.331
In -2.563 -4.140 5.645
In -5.453 -5.961 6.172
Sn -4.746 -3.424 7.487
Sn -3.271 -6.677 4.330
Sn -1.966 -2.491 3.281
Sn -6.050 -7.611 8.536
CELL_PARAMETERS angstrom
-5.781 -3.642 1.053
0.394 -6.720 1.609
-2.630 0.260 9.155
```

(3)
Density functional theory data (PBE-GGA) for a geometry-optimized K3In8Sn structure. Values from VASP.

space group	R3m
calculated total energy	-2.50	eV per atom
crystal system	trigonal
magnetization	0.00	μB/cell

Structure (Quantum ESPRESSO input):
```
&SYSTEM
  ibrav = 0, nat = 12, ntyp = 3
/
ATOMIC_SPECIES
K 39.10 K.upf
In 114.82 In.upf
Sn 118.71 Sn.upf
ATOMIC_POSITIONS angstrom
K -10.889 0.458 4.209
K -6.006 -7.830 5.211
K -7.896 -2.010 3.890
In -6.520 -5.183 2.646
In -10.283 -2.247 6.774
In -4.468 -2.711 2.764
In -12.353 -4.741 6.656
In -5.433 0.220 2.103
In -13.320 -1.798 5.992
In -5.383 -4.171 5.478
In -11.430 -3.268 3.918
Sn -9.216 -5.183 5.554
CELL_PARAMETERS angstrom
-4.112 -4.955 -0.235
-1.833 -2.926 5.440
-9.936 3.933 2.584
```

(4)
Density functional theory data (PBE-GGA) for a geometry-optimized KInSn structure. Values from VASP.

space group	P6_3/mmc
calculated total energy	-2.79	eV per atom
crystal system	hexagonal
magnetization	0.00	μB/cell

Structure (Quantum ESPRESSO input):
```
&SYSTEM
  ibrav = 0, nat = 6, ntyp = 3
/
ATOMIC_SPECIES
K 39.10 K.upf
Sn 118.71 Sn.upf
In 114.82 In.upf
ATOMIC_POSITIONS angstrom
K 0.000 0.000 0.000
K 0.000 0.000 5.524
Sn 1.412 2.446 8.286
Sn 2.824 0.000 2.762
In 1.412 2.446 2.762
In 2.824 0.000 8.286
CELL_PARAMETERS angstrom
4.236 -2.446 0.000
0.000 4.892 0.000
0.000 0.000 11.049
```

(5)
Density functional theory data (PBE-GGA) for a geometry-optimized K3In4Sn2 structure. Values from VASP.

space group	C2/m
calculated total energy	-2.62	eV per atom
crystal system	monoclinic
polymorph energy (0 for the lowest one)	0.00	eV/f.u.
magnetization	0.00	μB/cell

Structure (Quantum ESPRESSO input):
```
&SYSTEM
  ibrav = 0, nat = 9, ntyp = 3
/
ATOMIC_SPECIES
K 39.10 K.upf
In 114.82 In.upf
Sn 118.71 Sn.upf
ATOMIC_POSITIONS angstrom
K 10.619 -5.155 1.433
K 0.000 0.000 0.000
K 5.258 -4.602 2.083
In 2.458 -3.062 -0.182
In 13.419 -6.695 3.698
In 8.219 -2.064 1.664
In 7.657 -7.692 1.852
Sn 7.547 -6.393 -0.680
Sn 8.330 -3.363 4.197
CELL_PARAMETERS angstrom
-0.113 -4.138 2.589
4.748 -4.817 -2.887
11.241 -0.801 3.814
```

(6)
Density functional theory data (PBE-GGA) for a geometry-optimized KIn3Sn2 structure. Values from VASP.

space group	C2/m
calculated total energy	-2.97	eV per atom
crystal system	monoclinic
polymorph energy (0 for the lowest one)	0.00	eV/f.u.
magnetization	0.00	μB/cell

Structure (Quantum ESPRESSO input):
```
&SYSTEM
  ibrav = 0, nat = 18, ntyp = 3
/
ATOMIC_SPECIES
K 39.10 K.upf
In 114.82 In.upf
Sn 118.71 Sn.upf
ATOMIC_POSITIONS angstrom
K -7.081 -3.929 0.340
K -1.798 -6.248 -3.055
K 0.000 0.000 0.000
In -3.887 -1.091 0.273
In -4.992 -9.086 -2.988
In -3.007 -4.037 -0.048
In -5.872 -6.139 -2.667
In -1.823 -2.429 -2.743
In -7.057 -7.748 0.027
In -5.847 -0.441 -2.207
In 1.148 -6.339 -0.622
In -10.027 -3.837 -2.094
Sn 0.021 -3.630 -0.297
Sn -8.900 -6.546 -2.418
Sn -0.119 -9.012 -0.721
Sn -8.760 -1.165 -1.994
Sn -4.168 -6.877 -0.171
Sn -4.711 -3.300 -2.545
CELL_PARAMETERS angstrom
-0.498 0.434 -5.348
2.815 -9.296 1.698
-11.196 -1.315 0.935
```

(7)
Density functional theory data (PBE-GGA) for a geometry-optimized KInSn structure. Values from VASP.

space group	Cmcm
calculated total energy	-2.62	eV per atom
crystal system	orthorhombic
magnetization	0.00	μB/cell

Structure (Quantum ESPRESSO input):
```
&SYSTEM
  ibrav = 0, nat = 6, ntyp = 3
/
ATOMIC_SPECIES
K 39.10 K.upf
Sn 118.71 Sn.upf
In 114.82 In.upf
ATOMIC_POSITIONS angstrom
K -3.542 -3.022 2.318
K 2.436 -0.837 6.642
Sn 0.080 0.836 4.426
Sn -1.186 -4.694 4.534
In -2.155 0.546 2.703
In -0.553 -1.929 4.480
CELL_PARAMETERS angstrom
0.820 3.714 4.435
-5.130 -2.623 0.971
3.204 -4.951 3.554
```

(8)
Density functional theory data (PBE-GGA) for a geometry-optimized KIn4Sn structure. Values from VASP.

space group	Cmcm
calculated total energy	-2.74	eV per atom
crystal system	orthorhombic
polymorph energy (0 for the lowest one)	0.00	eV/f.u.
magnetization	0.00	μB/cell

Structure (Quantum ESPRESSO input):
```
&SYSTEM
  ibrav = 0, nat = 12, ntyp = 3
/
ATOMIC_SPECIES
K 39.10 K.upf
In 114.82 In.upf
Sn 118.71 Sn.upf
ATOMIC_POSITIONS angstrom
K -7.289 3.984 4.908
K 5.112 -3.591 4.415
In -1.088 0.197 4.661
In -1.086 -1.845 1.040
In 1.685 -2.888 2.084
In -3.861 3.281 7.239
In -3.859 1.628 4.307
In 1.683 -1.234 5.016
In -8.459 2.466 0.991
In 6.282 -2.072 8.332
Sn -5.684 1.227 1.691
Sn 3.507 -0.834 7.632
CELL_PARAMETERS angstrom
-9.399 1.865 -1.058
7.227 -5.555 3.137
-0.005 4.084 7.243
```

(9)
Density functional theory data (PBE-GGA) for a geometry-optimized KInSn structure. Values from VASP.

space group	Imma
calculated total energy	-2.77	eV per atom
crystal system	orthorhombic
magnetization	0.00	μB/cell

Structure (Quantum ESPRESSO input):
```
&SYSTEM
  ibrav = 0, nat = 6, ntyp = 3
/
ATOMIC_SPECIES
K 39.10 K.upf
Sn 118.71 Sn.upf
In 114.82 In.upf
ATOMIC_POSITIONS angstrom
K 1.682 -4.623 4.624
K 1.526 -7.639 2.181
Sn 1.691 -4.128 0.879
Sn -1.074 -2.955 -0.393
In -0.087 -2.002 2.524
In -1.161 -4.957 2.131
CELL_PARAMETERS angstrom
-2.147 -5.910 -0.785
5.529 -2.347 2.543
-0.174 -4.005 5.047
```

(10)
Density functional theory data (PBE-GGA) for a geometry-optimized KInSn structure. Values from VASP.

space group	Cc
calculated total energy	-2.83	eV per atom
crystal system	monoclinic
magnetization	0.00	μB/cell

Structure (Quantum ESPRESSO input):
```
&SYSTEM
  ibrav = 0, nat = 6, ntyp = 3
/
ATOMIC_SPECIES
K 39.10 K.upf
Sn 118.71 Sn.upf
In 114.82 In.upf
ATOMIC_POSITIONS angstrom
K -1.022 3.031 -3.983
K 0.004 -0.625 -1.476
Sn -1.238 5.055 -7.043
Sn 0.655 6.426 -5.027
In -0.268 9.118 -6.062
In 0.550 -0.068 -5.149
CELL_PARAMETERS angstrom
-2.762 7.853 -2.765
2.229 3.983 -4.817
0.253 -5.883 -3.059
```

(11)
Density functional theory data (PBE-GGA) for a geometry-optimized KInSn structure. Values from VASP.

space group	Pmmm
calculated total energy	-2.77	eV per atom
crystal system	orthorhombic
magnetization	0.00	μB/cell

Structure (Quantum ESPRESSO input):
```
&SYSTEM
  ibrav = 0, nat = 6, ntyp = 3
/
ATOMIC_SPECIES
K 39.10 K.upf
Sn 118.71 Sn.upf
In 114.82 In.upf
ATOMIC_POSITIONS angstrom
K 2.476 -3.483 -3.650
K 0.305 -2.651 0.665
Sn 2.344 -0.128 -1.582
Sn 1.999 -1.538 -7.047
In -0.345 -1.413 -5.473
In -0.172 -0.705 -2.733
CELL_PARAMETERS angstrom
-0.518 -2.118 -8.206
4.861 0.452 -0.423
0.609 -5.301 1.330
```